First-principles (PBE-GGA) data for Ga2PdAu after structural relaxation, as listed in Alexandria via LeMat-Bulk.

abc: 3.881 3.881 5.473
angles: 90.03 90.03 63.09
Fractional positions:
Ga (0.154, 0.154, 0.268)
Ga (0.846, 0.846, 0.732)
Pd (0.500, 0.500, 0.500)
Au (0.500, 0.500, 0.000)

## Properties
The energy relative to the lowest polymorph listed for this composition is 0 meV per atom. The calculation puts the density of states at the Fermi level at 0.400 states/eV/atom. As for the formation energy: -368 meV/atom.



First-principles (PBE-GGA) data for GaPdAu after structural relaxation, as listed in Alexandria via LeMat-Bulk.

abc: 10.494 10.494 10.494
angles: 162.29 162.29 25.15
Fractional positions:
Ga (0.210, 0.210, 0.000)
Ga (0.790, 0.790, 0.000)
Pd (0.346, 0.346, 0.000)
Pd (0.654, 0.654, 0.000)
Au (0.066, 0.066, 0.000)
Au (0.934, 0.934, 0.000)

## Properties
The energy relative to the lowest polymorph listed for this composition is 232 meV per atom. The calculation puts the density of states at the Fermi level at 0.312 states/eV/atom. As for the formation energy: -202 meV/atom.



First-principles (PBE-GGA) data for GaPdAu after structural relaxation, as listed in Alexandria via LeMat-Bulk.

abc: 5.344 5.344 5.344
angles: 145.62 145.62 49.41
Fractional positions:
Ga (0.000, 0.000, 0.000)
Pd (0.635, 0.635, 0.000)
Au (0.332, 0.332, 0.000)

## Properties
The energy relative to the lowest polymorph listed for this composition is 79 meV per atom. The calculation puts the density of states at the Fermi level at 0.343 states/eV/atom. As for the formation energy: -355 meV/atom.



First-principles (PBE-GGA) data for GaPdAu after structural relaxation, as listed in Alexandria via LeMat-Bulk.

abc: 7.526 7.526 7.526
angles: 146.59 56.52 135.80
Fractional positions:
Ga (0.000, 0.000, 0.000)
Ga (0.186, 0.514, 0.672)
Ga (0.842, 0.514, 0.328)
Pd (0.250, 0.750, 0.500)
Pd (0.604, 0.769, 0.835)
Pd (0.935, 0.769, 0.165)
Au (0.129, 0.287, 0.842)
Au (0.445, 0.287, 0.158)
Au (0.725, 0.225, 0.500)

## Properties
The energy relative to the lowest polymorph listed for this composition is 206 meV per atom. The calculation puts the density of states at the Fermi level at 0.318 states/eV/atom. As for the formation energy: -227 meV/atom.



First-principles (PBE-GGA) data for Ga2PdAu2 after structural relaxation, as listed in Alexandria via LeMat-Bulk.

abc: 6.854 6.854 6.854
angles: 147.85 147.85 46.11
Fractional positions:
Ga (0.250, 0.750, 0.500)
Ga (0.750, 0.250, 0.500)
Pd (0.000, 0.000, 0.000)
Au (0.394, 0.394, 0.000)
Au (0.606, 0.606, 0.000)

## Properties
The energy relative to the lowest polymorph listed for this composition is 213 meV per atom. The calculation puts the density of states at the Fermi level at 0.352 states/eV/atom. As for the formation energy: -65 meV/atom.



First-principles (PBE-GGA) data for Ga2PdAu after structural relaxation, as listed in Alexandria via LeMat-Bulk.

abc: 3.157 3.157 6.528
angles: 90.00 90.00 90.00
Fractional positions:
Ga (0.000, 0.000, 0.234)
Ga (0.000, 0.000, 0.766)
Pd (0.500, 0.500, 0.000)
Au (0.500, 0.500, 0.500)

## Properties
The energy relative to the lowest polymorph listed for this composition is 53 meV per atom. The calculation puts the density of states at the Fermi level at 0.275 states/eV/atom. As for the formation energy: -315 meV/atom.



First-principles (PBE-GGA) data for Ga2PdAu after structural relaxation, as listed in Alexandria via LeMat-Bulk.

abc: 4.510 4.510 4.510
angles: 60.00 60.00 60.00
Fractional positions:
Ga (0.250, 0.250, 0.250)
Ga (0.750, 0.750, 0.750)
Pd (0.000, 0.000, 0.000)
Au (0.500, 0.500, 0.500)

## Properties
The energy relative to the lowest polymorph listed for this composition is 68 meV per atom. The calculation puts the density of states at the Fermi level at 0.277 states/eV/atom. As for the formation energy: -300 meV/atom.



First-principles (PBE-GGA) data for Ga2PdAu after structural relaxation, as listed in Alexandria via LeMat-Bulk.

abc: 4.520 4.886 5.982
angles: 90.00 90.24 90.00
Fractional positions:
Ga (0.109, 0.250, 0.134)
Ga (0.123, 0.250, 0.611)
Ga (0.877, 0.750, 0.389)
Ga (0.891, 0.750, 0.866)
Pd (0.378, 0.750, 0.627)
Pd (0.622, 0.250, 0.373)
Au (0.376, 0.750, 0.130)
Au (0.624, 0.250, 0.870)

## Properties
The energy relative to the lowest polymorph listed for this composition is 15 meV per atom. The calculation puts the density of states at the Fermi level at 0.405 states/eV/atom. As for the formation energy: -354 meV/atom.



First-principles (PBE-GGA) data for GaPd5Au2 after structural relaxation, as listed in Alexandria via LeMat-Bulk.

abc: 4.827 4.827 14.661
angles: 90.00 90.00 130.64
Fractional positions:
Ga (0.134, 0.866, 0.750)
Ga (0.866, 0.134, 0.250)
Pd (0.048, 0.952, 0.591)
Pd (0.048, 0.952, 0.909)
Pd (0.352, 0.648, 0.532)
Pd (0.352, 0.648, 0.968)
Pd (0.443, 0.557, 0.750)
Pd (0.557, 0.443, 0.250)
Pd (0.648, 0.352, 0.032)
Pd (0.648, 0.352, 0.468)
Pd (0.952, 0.048, 0.091)
Pd (0.952, 0.048, 0.409)
Au (0.249, 0.751, 0.152)
Au (0.249, 0.751, 0.348)
Au (0.751, 0.249, 0.652)
Au (0.751, 0.249, 0.848)

## Properties
The energy relative to the lowest polymorph listed for this composition is 81 meV per atom. The calculation puts the density of states at the Fermi level at 0.556 states/eV/atom. As for the formation energy: -195 meV/atom.



First-principles (PBE-GGA) data for GaPd7Au4 after structural relaxation, as listed in Alexandria via LeMat-Bulk.

abc: 5.451 5.451 9.562
angles: 109.30 109.30 52.16
Fractional positions:
Ga (0.000, 0.000, 0.000)
Pd (0.101, 0.101, 0.284)
Pd (0.207, 0.207, 0.920)
Pd (0.369, 0.369, 0.529)
Pd (0.500, 0.500, 0.000)
Pd (0.631, 0.631, 0.471)
Pd (0.793, 0.793, 0.080)
Pd (0.899, 0.899, 0.716)
Au (0.139, 0.139, 0.617)
Au (0.376, 0.376, 0.228)
Au (0.624, 0.624, 0.772)
Au (0.861, 0.861, 0.383)

## Properties
The calculation puts the density of states at the Fermi level at 0.598 states/eV/atom. As for the formation energy: -30 meV/atom.



First-principles (PBE-GGA) data for GaPd3Au3 after structural relaxation, as listed in Alexandria via LeMat-Bulk.

abc: 5.979 5.979 6.816
angles: 90.00 90.00 94.49
Fractional positions:
Ga (0.241, 0.759, 0.000)
Ga (0.759, 0.241, 0.000)
Pd (0.000, 0.000, 0.217)
Pd (0.000, 0.000, 0.783)
Pd (0.000, 0.500, 0.229)
Pd (0.000, 0.500, 0.771)
Pd (0.500, 0.000, 0.229)
Pd (0.500, 0.000, 0.771)
Au (0.251, 0.749, 0.500)
Au (0.266, 0.266, 0.500)
Au (0.317, 0.317, 0.000)
Au (0.683, 0.683, 0.000)
Au (0.734, 0.734, 0.500)
Au (0.749, 0.251, 0.500)

## Properties
The calculation puts the density of states at the Fermi level at 0.239 states/eV/atom. As for the formation energy: -225 meV/atom.



First-principles (PBE-GGA) data for Ga2PdAu2 after structural relaxation, as listed in Alexandria via LeMat-Bulk.

abc: 5.101 5.101 6.374
angles: 128.27 128.27 42.67
Fractional positions:
Ga (0.073, 0.073, 0.292)
Ga (0.927, 0.927, 0.708)
Pd (0.500, 0.500, 0.500)
Au (0.304, 0.304, 0.875)
Au (0.696, 0.696, 0.125)

## Properties
The energy relative to the lowest polymorph listed for this composition is 0 meV per atom. The calculation puts the density of states at the Fermi level at 0.249 states/eV/atom. As for the formation energy: -277 meV/atom.



First-principles (PBE-GGA) data for Ga2Pd2Au after structural relaxation, as listed in Alexandria via LeMat-Bulk.

abc: 7.410 7.410 2.915
angles: 90.00 90.00 90.00
Fractional positions:
Ga (0.160, 0.340, 0.000)
Ga (0.340, 0.840, 0.000)
Ga (0.660, 0.160, 0.000)
Ga (0.840, 0.660, 0.000)
Pd (0.138, 0.638, 0.500)
Pd (0.362, 0.138, 0.500)
Pd (0.638, 0.862, 0.500)
Pd (0.862, 0.362, 0.500)
Au (0.000, 0.000, 0.500)
Au (0.500, 0.500, 0.500)

## Properties
The energy relative to the lowest polymorph listed for this composition is 30 meV per atom. The calculation puts the density of states at the Fermi level at 0.429 states/eV/atom. As for the formation energy: -445 meV/atom.



First-principles (PBE-GGA) data for GaPdAu after structural relaxation, as listed in Alexandria via LeMat-Bulk.

abc: 4.285 4.285 3.114
angles: 90.00 90.00 120.00
Fractional positions:
Ga (0.000, 0.000, 0.000)
Pd (0.667, 0.333, 0.780)
Au (0.333, 0.667, 0.305)

## Properties
The energy relative to the lowest polymorph listed for this composition is 73 meV per atom. The calculation puts the density of states at the Fermi level at 0.308 states/eV/atom. As for the formation energy: -360 meV/atom.



First-principles (PBE-GGA) data for Ga3Pd6Au after structural relaxation, as listed in Alexandria via LeMat-Bulk.

abc: 8.290 4.112 9.091
angles: 90.00 97.63 90.00
Fractional positions:
Ga (0.045, 0.250, 0.394)
Ga (0.141, 0.750, 0.187)
Ga (0.277, 0.250, 0.959)
Ga (0.723, 0.750, 0.041)
Ga (0.859, 0.250, 0.813)
Ga (0.955, 0.750, 0.606)
Pd (0.050, 0.750, 0.903)
Pd (0.127, 0.250, 0.689)
Pd (0.221, 0.750, 0.480)
Pd (0.314, 0.250, 0.276)
Pd (0.357, 0.750, 0.786)
Pd (0.421, 0.750, 0.094)
Pd (0.579, 0.250, 0.906)
Pd (0.643, 0.250, 0.214)
Pd (0.686, 0.750, 0.724)
Pd (0.779, 0.250, 0.520)
Pd (0.873, 0.750, 0.311)
Pd (0.950, 0.250, 0.097)
Au (0.452, 0.250, 0.596)
Au (0.548, 0.750, 0.404)

## Properties
The energy relative to the lowest polymorph listed for this composition is 0 meV per atom. The calculation puts the density of states at the Fermi level at 0.341 states/eV/atom. As for the formation energy: -506 meV/atom.



First-principles (PBE-GGA) data for GaPdAu after structural relaxation, as listed in Alexandria via LeMat-Bulk.

abc: 4.241 4.241 4.241
angles: 60.00 60.00 60.00
Fractional positions:
Ga (0.000, 0.000, 0.000)
Pd (0.750, 0.750, 0.750)
Au (0.250, 0.250, 0.250)

## Properties
The energy relative to the lowest polymorph listed for this composition is 125 meV per atom. The calculation puts the density of states at the Fermi level at 0.257 states/eV/atom. As for the formation energy: -309 meV/atom.



First-principles (PBE-GGA) data for GaPdAu2 after structural relaxation, as listed in Alexandria via LeMat-Bulk.

abc: 4.087 4.087 3.998
angles: 90.00 90.00 90.00
Fractional positions:
Ga (0.000, 0.000, 0.000)
Pd (0.500, 0.500, 0.000)
Au (0.000, 0.500, 0.500)
Au (0.500, 0.000, 0.500)

## Properties
The calculation puts the density of states at the Fermi level at 0.536 states/eV/atom. As for the formation energy: -244 meV/atom.



First-principles (PBE-GGA) data for GaPdAu2 after structural relaxation, as listed in Alexandria via LeMat-Bulk.

abc: 5.817 5.804 5.630
angles: 61.15 60.91 57.95
Fractional positions:
Ga (0.241, 0.241, 0.759)
Ga (0.759, 0.759, 0.241)
Pd (0.191, 0.809, 0.191)
Pd (0.809, 0.191, 0.809)
Au (0.250, 0.250, 0.250)
Au (0.308, 0.692, 0.692)
Au (0.692, 0.308, 0.308)
Au (0.750, 0.750, 0.750)

## Properties
The calculation puts the density of states at the Fermi level at 0.348 states/eV/atom. As for the formation energy: -292 meV/atom.



First-principles (PBE-GGA) data for Ga2Pd6Au after structural relaxation, as listed in Alexandria via LeMat-Bulk.

abc: 5.097 7.191 9.073
angles: 90.00 119.27 90.00
Fractional positions:
Ga (0.246, 0.081, 0.305)
Ga (0.246, 0.419, 0.805)
Ga (0.754, 0.581, 0.195)
Ga (0.754, 0.919, 0.695)
Pd (0.128, 0.143, 0.961)
Pd (0.128, 0.357, 0.461)
Pd (0.255, 0.734, 0.377)
Pd (0.255, 0.766, 0.877)
Pd (0.465, 0.107, 0.797)
Pd (0.465, 0.393, 0.297)
Pd (0.535, 0.607, 0.703)
Pd (0.535, 0.893, 0.203)
Pd (0.745, 0.234, 0.123)
Pd (0.745, 0.266, 0.623)
Pd (0.872, 0.643, 0.539)
Pd (0.872, 0.857, 0.039)
Au (0.000, 0.000, 0.500)
Au (0.000, 0.500, 0.000)

## Properties
The energy relative to the lowest polymorph listed for this composition is 94 meV per atom. The calculation puts the density of states at the Fermi level at 0.491 states/eV/atom. As for the formation energy: -304 meV/atom.



First-principles (PBE-GGA) data for Ga4PdAu after structural relaxation, as listed in Alexandria via LeMat-Bulk.

abc: 4.314 4.314 6.114
angles: 90.00 90.00 90.00
Fractional positions:
Ga (0.000, 0.500, 0.239)
Ga (0.000, 0.500, 0.761)
Ga (0.500, 0.000, 0.239)
Ga (0.500, 0.000, 0.761)
Pd (0.000, 0.000, 0.000)
Au (0.500, 0.500, 0.500)

## Properties
The energy relative to the lowest polymorph listed for this composition is 4 meV per atom. The calculation puts the density of states at the Fermi level at 0.445 states/eV/atom. As for the formation energy: -339 meV/atom.



First-principles (PBE-GGA) data for Ga3Pd5Au after structural relaxation, as listed in Alexandria via LeMat-Bulk.

abc: 5.695 5.695 10.036
angles: 96.59 96.59 78.22
Fractional positions:
Ga (0.000, 0.000, 0.000)
Ga (0.000, 0.000, 0.500)
Ga (0.276, 0.276, 0.361)
Ga (0.329, 0.329, 0.981)
Ga (0.671, 0.671, 0.019)
Ga (0.724, 0.724, 0.639)
Pd (0.001, 0.584, 0.845)
Pd (0.265, 0.265, 0.606)
Pd (0.319, 0.681, 0.500)
Pd (0.416, 0.999, 0.155)
Pd (0.490, 0.490, 0.204)
Pd (0.510, 0.510, 0.796)
Pd (0.584, 0.001, 0.845)
Pd (0.681, 0.319, 0.500)
Pd (0.735, 0.735, 0.394)
Pd (0.999, 0.416, 0.155)
Au (0.046, 0.046, 0.764)
Au (0.954, 0.954, 0.236)

## Properties
The energy relative to the lowest polymorph listed for this composition is 268 meV per atom. The calculation puts the density of states at the Fermi level at 0.306 states/eV/atom. As for the formation energy: -251 meV/atom.



First-principles (PBE-GGA) data for Ga4Pd7Au after structural relaxation, as listed in Alexandria via LeMat-Bulk.

abc: 6.076 6.076 8.865
angles: 119.62 119.62 47.71
Fractional positions:
Ga (0.076, 0.076, 0.276)
Ga (0.225, 0.225, 0.824)
Ga (0.775, 0.775, 0.176)
Ga (0.924, 0.924, 0.724)
Pd (0.000, 0.000, 0.500)
Pd (0.146, 0.146, 0.053)
Pd (0.291, 0.291, 0.599)
Pd (0.426, 0.426, 0.146)
Pd (0.574, 0.574, 0.854)
Pd (0.709, 0.709, 0.401)
Pd (0.854, 0.854, 0.947)
Au (0.500, 0.500, 0.500)

## Properties
The calculation puts the density of states at the Fermi level at 0.355 states/eV/atom. As for the formation energy: -312 meV/atom.



First-principles (PBE-GGA) data for GaPd5Au2 after structural relaxation, as listed in Alexandria via LeMat-Bulk.

abc: 8.193 8.193 8.193
angles: 151.27 151.27 41.08
Fractional positions:
Ga (0.000, 0.000, 0.000)
Pd (0.117, 0.617, 0.500)
Pd (0.383, 0.883, 0.500)
Pd (0.500, 0.500, 0.000)
Pd (0.617, 0.117, 0.500)
Pd (0.883, 0.383, 0.500)
Au (0.250, 0.250, 0.000)
Au (0.750, 0.750, 0.000)

## Properties
The energy relative to the lowest polymorph listed for this composition is 0 meV per atom. The calculation puts the density of states at the Fermi level at 0.981 states/eV/atom. As for the formation energy: -277 meV/atom.



First-principles (PBE-GGA) data for Ga4PdAu5 after structural relaxation, as listed in Alexandria via LeMat-Bulk.

abc: 9.465 9.465 5.639
angles: 99.63 99.63 22.11
Fractional positions:
Ga (0.074, 0.074, 0.319)
Ga (0.378, 0.378, 0.205)
Ga (0.622, 0.622, 0.795)
Ga (0.926, 0.926, 0.681)
Pd (0.500, 0.500, 0.500)
Au (0.187, 0.187, 0.101)
Au (0.204, 0.204, 0.610)
Au (0.500, 0.500, 0.000)
Au (0.796, 0.796, 0.390)
Au (0.813, 0.813, 0.899)

## Properties
The energy relative to the lowest polymorph listed for this composition is 0 meV per atom. The calculation puts the density of states at the Fermi level at 0.324 states/eV/atom. As for the formation energy: -246 meV/atom.